Arrangement a

The following is a DFT calculation (GGA+U) of crystalline CoAsOsO at its relaxed geometry.

Unit cell a=3.546 b=5.906 c=5.550 alpha=90.00 beta=90.00 gamma=90.00
Last column: magnetic moment on the atom in μB.
Fractional coordinates of all 8 atoms:
Os 0.500 0.475 0.074  -0.10
O 0.500 0.240 0.353  0.04
Co 0.000 0.127 0.453  2.13
As 0.000 0.730 0.374  -0.02
Co 0.000 0.873 0.953  2.16
O 0.500 0.760 0.853  0.04
Os 0.500 0.525 0.574  -0.11
As 0.000 0.270 0.874  -0.02

space group: Pmc2_1

---

Arrangement b

The following is a DFT calculation (GGA+U) of crystalline CoAsOsO at its relaxed geometry.

Unit cell a=3.952 b=5.248 c=5.529 alpha=90.00 beta=90.00 gamma=90.00
Last column: magnetic moment on the atom in μB.
Fractional coordinates of all 8 atoms:
As 0.000 0.332 0.363  0.03
O 0.500 0.193 0.903  0.06
As 0.000 0.668 0.863  0.04
Os 0.000 0.798 0.445  0.45
Os 0.000 0.202 0.945  0.43
O 0.500 0.807 0.403  0.06
Co 0.500 0.846 0.043  -1.87
Co 0.500 0.154 0.543  -1.88

space group: Pmc2_1

---

Comparing the structures above, arrangement a comes out on top by 8.3 kJ/mol of atoms.